[1]
# Ac3Tb6Pr (PBE, relaxed)
# * symmetry: R-3
# * energy relative to the elements: 419.9 meV per atom
# * ρ: 7.8 Mg/m³
data_Ac3Tb6Pr
_chemical_formula_sum 'Ac3 Tb6 Pr1'
_cell_length_a 7.218
_cell_length_b 7.218
_cell_length_c 7.218
_cell_angle_alpha 88.98
_cell_angle_beta 88.98
_cell_angle_gamma 88.98
_symmetry_space_group_name_H-M 'P 1'
_symmetry_Int_Tables_number 1
_symmetry_space_group_name_Hall 'P 1'
loop_
_atom_site_label
_atom_site_type_symbol
_atom_site_fract_x
_atom_site_fract_y
_atom_site_fract_z
_atom_site_occupancy
Ac1 Ac 0.000 0.000 0.000 1
Ac2 Ac 0.259 0.259 0.259 1
Ac3 Ac 0.741 0.741 0.741 1
Tb1 Tb 0.098 0.424 0.754 1
Tb2 Tb 0.246 0.902 0.576 1
Tb3 Tb 0.424 0.754 0.098 1
Tb4 Tb 0.576 0.246 0.902 1
Tb5 Tb 0.754 0.098 0.424 1
Tb6 Tb 0.902 0.576 0.246 1
Pr1 Pr 0.500 0.500 0.500 1

=====

[2]
# VTe6Au2 (PBE, relaxed)
# * symmetry: R3
# * formation energy without anion corrections: 7.5 kJ per mole of atoms
# * ρ: 7.7 Mg/m³
data_VTe6Au2
_chemical_formula_sum 'V1 Te6 Au2'
_cell_length_a 8.220
_cell_length_b 8.220
_cell_length_c 8.220
_cell_angle_alpha 46.03
_cell_angle_beta 46.03
_cell_angle_gamma 46.03
_symmetry_space_group_name_H-M 'P 1'
_symmetry_Int_Tables_number 1
_symmetry_space_group_name_Hall 'P 1'
loop_
_atom_site_label
_atom_site_type_symbol
_atom_site_fract_x
_atom_site_fract_y
_atom_site_fract_z
_atom_site_occupancy
V1 V 0.000 0.000 0.000 1
Te1 Te 0.003 0.419 0.861 1
Te2 Te 0.275 0.851 0.650 1
Te3 Te 0.419 0.861 0.003 1
Te4 Te 0.650 0.275 0.851 1
Te5 Te 0.851 0.650 0.275 1
Te6 Te 0.861 0.003 0.419 1
Au1 Au 0.300 0.300 0.300 1
Au2 Au 0.431 0.431 0.431 1

=====

[3]
# SnSbBr2 (PBE, relaxed)
# * symmetry: Fm-3m
# * distance to the lowest polymorph of the same formula: 302 meV/atom
# * formation energy without anion corrections: 10.4 kJ per mole of atoms
# * ρ: 6.0 Mg/m³
data_SnSbBr2
_chemical_formula_sum 'Sn1 Sb1 Br2'
_cell_length_a 5.393
_cell_length_b 5.393
_cell_length_c 5.393
_cell_angle_alpha 60.00
_cell_angle_beta 60.00
_cell_angle_gamma 60.00
_symmetry_space_group_name_H-M 'P 1'
_symmetry_Int_Tables_number 1
_symmetry_space_group_name_Hall 'P 1'
loop_
_atom_site_label
_atom_site_type_symbol
_atom_site_fract_x
_atom_site_fract_y
_atom_site_fract_z
_atom_site_occupancy
Sn1 Sn 0.000 0.000 0.000 1
Sb1 Sb 0.500 0.500 0.500 1
Br1 Br 0.250 0.250 0.250 1
Br2 Br 0.750 0.750 0.750 1

=====

[4]
# YN2O2 (PBE, relaxed)
# * symmetry: P4/mmm
# * distance to the lowest polymorph of the same formula: 792 meV/atom
# * formation energy without anion corrections: 77.0 kJ per mole of atoms
# * ρ: 2.6 Mg/m³
data_YN2O2
_chemical_formula_sum 'Y1 N2 O2'
_cell_length_a 4.365
_cell_length_b 4.365
_cell_length_c 5.080
_cell_angle_alpha 90.00
_cell_angle_beta 90.00
_cell_angle_gamma 90.00
_symmetry_space_group_name_H-M 'P 1'
_symmetry_Int_Tables_number 1
_symmetry_space_group_name_Hall 'P 1'
loop_
_atom_site_label
_atom_site_type_symbol
_atom_site_fract_x
_atom_site_fract_y
_atom_site_fract_z
_atom_site_occupancy
Y1 Y 0.000 0.000 0.000 1
N1 N 0.000 0.000 0.500 1
N2 N 0.500 0.500 0.500 1
O1 O 0.000 0.500 0.000 1
O2 O 0.500 0.000 0.000 1

=====

[5]
# Sb3PPt (PBE, relaxed)
# * symmetry: Pm-3m
# * distance to the lowest polymorph of the same formula: 115 meV/atom
# * formation energy without anion corrections: 79.4 kJ per mole of atoms
# * ρ: 7.6 Mg/m³
data_Sb3PPt
_chemical_formula_sum 'Sb3 P1 Pt1'
_cell_length_a 5.049
_cell_length_b 5.049
_cell_length_c 5.049
_cell_angle_alpha 90.00
_cell_angle_beta 90.00
_cell_angle_gamma 90.00
_symmetry_space_group_name_H-M 'P 1'
_symmetry_Int_Tables_number 1
_symmetry_space_group_name_Hall 'P 1'
loop_
_atom_site_label
_atom_site_type_symbol
_atom_site_fract_x
_atom_site_fract_y
_atom_site_fract_z
_atom_site_occupancy
Sb1 Sb 0.000 0.000 0.500 1
Sb2 Sb 0.000 0.500 0.000 1
Sb3 Sb 0.500 0.000 0.000 1
P1 P 0.000 0.000 0.000 1
Pt1 Pt 0.500 0.500 0.500 1

=====

Repeat the fourth record exactly.
# YN2O2 (PBE, relaxed)
# * symmetry: P4/mmm
# * distance to the lowest polymorph of the same formula: 792 meV/atom
# * formation energy without anion corrections: 77.0 kJ per mole of atoms
# * ρ: 2.6 Mg/m³
data_YN2O2
_chemical_formula_sum 'Y1 N2 O2'
_cell_length_a 4.365
_cell_length_b 4.365
_cell_length_c 5.080
_cell_angle_alpha 90.00
_cell_angle_beta 90.00
_cell_angle_gamma 90.00
_symmetry_space_group_name_H-M 'P 1'
_symmetry_Int_Tables_number 1
_symmetry_space_group_name_Hall 'P 1'
loop_
_atom_site_label
_atom_site_type_symbol
_atom_site_fract_x
_atom_site_fract_y
_atom_site_fract_z
_atom_site_occupancy
Y1 Y 0.000 0.000 0.000 1
N1 N 0.000 0.000 0.500 1
N2 N 0.500 0.500 0.500 1
O1 O 0.000 0.500 0.000 1
O2 O 0.500 0.000 0.000 1